1.
Density functional theory data (PBE) for a relaxed structure of Ac8GeAs3S4.

D(E_F) = 8.2 states/eV per cell

```
data_Ac8GeAs3S4
_symmetry_space_group_name_H-M 'R -3 m'
_symmetry_Int_Tables_number 166
_symmetry_space_group_name_Hall '-R 3 2"'
_cell_length_a 8.9415
_cell_length_b 8.9415
_cell_length_c 21.5922
_cell_angle_alpha 90.00
_cell_angle_beta 90.00
_cell_angle_gamma 120.00
loop_
_atom_site_label
_atom_site_type_symbol
_atom_site_fract_x
_atom_site_fract_y
_atom_site_fract_z
Ac1 Ac 0.0000 0.0000 0.2501
Ac2 Ac 0.0019 0.5009 0.2499
Ge1 Ge 0.0000 0.0000 0.5000
As1 As 0.0000 0.5000 0.5000
S1 S 0.0000 0.0000 0.0000
S2 S 0.0000 0.5000 0.0000
```


2.
Density functional theory data (PBE) for a relaxed structure of BaLaBi2S6.

```
data_BaLaBi2S6
_symmetry_space_group_name_H-M 'P 1 21/c 1'
_symmetry_Int_Tables_number 14
_cell_length_a 4.227
_cell_length_b 14.960
_cell_length_c 16.629
_cell_angle_alpha 90.00
_cell_angle_beta 92.78
_cell_angle_gamma 90.00
loop_
_symmetry_equiv_pos_as_xyz
'x,y,z'
'-x,-y,-z'
'-x,y+1/2,-z+1/2'
'x,-y+1/2,z+1/2'
loop_
_atom_site_label
_atom_site_type_symbol
_atom_site_fract_x
_atom_site_fract_y
_atom_site_fract_z
Ba1 Ba 0.242 0.214 0.330
La1 La 0.205 0.126 0.593
Bi1 Bi 0.238 0.626 0.471
Bi2 Bi 0.263 0.520 0.702
S1 S 0.179 0.538 0.201
S2 S 0.204 0.081 0.910
S3 S 0.253 0.168 0.130
S4 S 0.265 0.708 0.020
S5 S 0.278 0.672 0.783
S6 S 0.342 0.012 0.450
```


3.
Density functional theory data (PBE) for a relaxed structure of Sb2PdF.

D(E_F) = 8.1 states/eV per cell

```
data_Sb2PdF
_symmetry_space_group_name_H-M 'F m -3 m'
_symmetry_Int_Tables_number 225
_symmetry_space_group_name_Hall '-F 4 2 3'
_cell_length_a 6.593
_cell_length_b 6.593
_cell_length_c 6.593
_cell_angle_alpha 90.00
_cell_angle_beta 90.00
_cell_angle_gamma 90.00
loop_
_atom_site_label
_atom_site_type_symbol
_atom_site_fract_x
_atom_site_fract_y
_atom_site_fract_z
Sb1 Sb 0.250 0.250 0.250
Pd1 Pd 0.000 0.000 0.000
F1 F 0.000 0.000 0.500
```


4.
Density functional theory data (PBE) for a relaxed structure of Cd6GaPb.

ΔH_f (0 K) = 0.049 eV/atom
D(E_F) = 4.3 states/eV per cell

```
data_Cd6GaPb
_symmetry_space_group_name_H-M 'P 4/m m m'
_symmetry_Int_Tables_number 123
_symmetry_space_group_name_Hall '-P 4 2'
_cell_length_a 4.505
_cell_length_b 4.505
_cell_length_c 9.395
_cell_angle_alpha 90.00
_cell_angle_beta 90.00
_cell_angle_gamma 90.00
loop_
_atom_site_label
_atom_site_type_symbol
_atom_site_fract_x
_atom_site_fract_y
_atom_site_fract_z
Cd1 Cd 0.000 0.000 0.000
Cd2 Cd 0.000 0.000 0.500
Cd3 Cd 0.000 0.500 0.234
Ga1 Ga 0.500 0.500 0.000
Pb1 Pb 0.500 0.500 0.500
```


5.
Density functional theory data (PBE) for a relaxed structure of TlPtW2.

ΔH_f (0 K) = 0.826 eV/atom
D(E_F) = 3.7 states/eV per cell

```
data_TlPtW2
_symmetry_space_group_name_H-M 'P 4/m m m'
_symmetry_Int_Tables_number 123
_symmetry_space_group_name_Hall '-P 4 2'
_cell_length_a 4.939
_cell_length_b 4.939
_cell_length_c 2.860
_cell_angle_alpha 90.00
_cell_angle_beta 90.00
_cell_angle_gamma 90.00
loop_
_atom_site_label
_atom_site_type_symbol
_atom_site_fract_x
_atom_site_fract_y
_atom_site_fract_z
Tl1 Tl 0.000 0.000 0.000
Pt1 Pt 0.500 0.500 0.000
W1 W 0.000 0.500 0.500
```


6.
Density functional theory data (PBE) for a relaxed structure of CuAs2C.

ΔH_f (0 K) = 0.555 eV/atom
D(E_F) = 4.6 states/eV per cell

```
data_CuAs2C
_symmetry_space_group_name_H-M 'I -4 2 d'
_symmetry_Int_Tables_number 122
_symmetry_space_group_name_Hall 'I -4 2bw'
_cell_length_a 5.225
_cell_length_b 5.225
_cell_length_c 9.481
_cell_angle_alpha 90.00
_cell_angle_beta 90.00
_cell_angle_gamma 90.00
loop_
_atom_site_label
_atom_site_type_symbol
_atom_site_fract_x
_atom_site_fract_y
_atom_site_fract_z
Cu1 Cu 0.000 0.000 0.000
As1 As 0.202 0.250 0.625
C1 C 0.000 0.000 0.500
```


7.
Density functional theory data (PBE) for a relaxed structure of BeCd2W.

ΔH_f (0 K) = 0.699 eV/atom
D(E_F) = 1.9 states/eV per cell

```
data_BeCd2W
_symmetry_space_group_name_H-M 'P m m m'
_symmetry_Int_Tables_number 47
_cell_length_a 2.990
_cell_length_b 4.588
_cell_length_c 4.845
_cell_angle_alpha 90.00
_cell_angle_beta 90.00
_cell_angle_gamma 90.00
loop_
_symmetry_equiv_pos_as_xyz
'x,y,z'
'-x,-y,-z'
'-x,-y,z'
'x,y,-z'
'x,-y,-z'
'-x,y,z'
'-x,y,-z'
'x,-y,z'
loop_
_atom_site_label
_atom_site_type_symbol
_atom_site_fract_x
_atom_site_fract_y
_atom_site_fract_z
Be1 Be 0.000 0.000 0.000
Cd1 Cd 0.000 0.500 0.500
Cd2 Cd 0.500 0.000 0.500
W1 W 0.500 0.500 0.000
```


8.
Density functional theory data (PBE) for a relaxed structure of ScH2Ir2.

D(E_F) = 5.2 states/eV per cell

```
data_ScH2Ir2
_symmetry_space_group_name_H-M 'P 4/m b m'
_symmetry_Int_Tables_number 127
_symmetry_space_group_name_Hall '-P 4 2ab'
_cell_length_a 5.472
_cell_length_b 5.472
_cell_length_c 3.760
_cell_angle_alpha 90.00
_cell_angle_beta 90.00
_cell_angle_gamma 90.00
loop_
_atom_site_label
_atom_site_type_symbol
_atom_site_fract_x
_atom_site_fract_y
_atom_site_fract_z
Sc1 Sc 0.000 0.000 0.000
H1 H 0.147 0.353 0.000
Ir1 Ir 0.172 0.328 0.500
```


9.
Density functional theory data (PBE) for a relaxed structure of Nd9Ga5Se21.

```
data_Nd9Ga5Se21
_symmetry_space_group_name_H-M 'R 3'
_symmetry_Int_Tables_number 146
_symmetry_space_group_name_Hall 'R 3'
_cell_length_a 18.0543
_cell_length_b 18.0543
_cell_length_c 19.5198
_cell_angle_alpha 90.00
_cell_angle_beta 90.00
_cell_angle_gamma 120.00
loop_
_atom_site_label
_atom_site_type_symbol
_atom_site_fract_x
_atom_site_fract_y
_atom_site_fract_z
Nd1 Nd 0.0209 0.1962 0.0000
Nd2 Nd 0.0217 0.1987 0.3456
Nd3 Nd 0.0234 0.2022 0.6605
Nd4 Nd 0.1505 0.6820 0.8258
Nd5 Nd 0.1564 0.6885 0.5106
Nd6 Nd 0.1611 0.6931 0.1694
Ga1 Ga 0.0000 0.0000 0.2206
Ga2 Ga 0.0000 0.0000 0.4378
Ga3 Ga 0.0000 0.0000 0.7201
Ga4 Ga 0.0000 0.0000 0.9369
Ga5 Ga 0.0019 0.6716 0.3075
Ga6 Ga 0.0066 0.3362 0.8075
Se1 Se 0.0001 0.6615 0.0980
Se2 Se 0.0055 0.3358 0.9314
Se3 Se 0.0067 0.5481 0.5891
Se4 Se 0.0081 0.1317 0.1950
Se5 Se 0.0117 0.1247 0.8619
Se6 Se 0.0162 0.1345 0.5153
Se7 Se 0.0177 0.5492 0.9255
Se8 Se 0.0213 0.5578 0.2578
Se9 Se 0.1250 0.1134 0.3640
Se10 Se 0.1281 0.3411 0.0929
Se11 Se 0.1294 0.3570 0.4253
Se12 Se 0.1325 0.1195 0.0140
Se13 Se 0.1338 0.1212 0.6939
Se14 Se 0.1343 0.3494 0.7546
```


10.
Density functional theory data (PBE) for a relaxed structure of NdSi2Ru.

D(E_F) = 3.3 states/eV per cell

```
data_NdSi2Ru
_symmetry_space_group_name_H-M 'P 1 21/m 1'
_symmetry_Int_Tables_number 11
_cell_length_a 4.507
_cell_length_b 4.067
_cell_length_c 8.311
_cell_angle_alpha 90.00
_cell_angle_beta 101.85
_cell_angle_gamma 90.00
loop_
_symmetry_equiv_pos_as_xyz
'x,y,z'
'-x,-y,-z'
'-x,y+1/2,-z'
'x,-y+1/2,z'
loop_
_atom_site_label
_atom_site_type_symbol
_atom_site_fract_x
_atom_site_fract_y
_atom_site_fract_z
Nd1 Nd 0.084 0.250 0.200
Si1 Si 0.167 0.750 0.491
Si2 Si 0.463 0.250 0.909
Ru1 Ru 0.380 0.250 0.613
```


11.
Density functional theory data (PBE) for a relaxed structure of Tb12Er7Zr.

ΔH_f (0 K) = 0.784 eV/atom
D(E_F) = 46.9 states/eV per cell

```
data_Tb12Er7Zr
_symmetry_space_group_name_H-M 'I m -3 m'
_symmetry_Int_Tables_number 229
_symmetry_space_group_name_Hall '-I 4 2 3'
_cell_length_a 11.348
_cell_length_b 11.348
_cell_length_c 11.348
_cell_angle_alpha 90.00
_cell_angle_beta 90.00
_cell_angle_gamma 90.00
loop_
_atom_site_label
_atom_site_type_symbol
_atom_site_fract_x
_atom_site_fract_y
_atom_site_fract_z
Tb1 Tb 0.000 0.220 0.220
Er1 Er 0.000 0.000 0.500
Er2 Er 0.250 0.250 0.250
Zr1 Zr 0.000 0.000 0.000
```


12.
Density functional theory data (PBE) for a relaxed structure of PrSmPt10.

ΔH_f (0 K) = -0.715 eV/atom
D(E_F) = 9.1 states/eV per cell

```
data_PrSmPt10
_symmetry_space_group_name_H-M 'P m m m'
_symmetry_Int_Tables_number 47
_cell_length_a 4.441
_cell_length_b 5.429
_cell_length_c 9.360
_cell_angle_alpha 90.00
_cell_angle_beta 90.00
_cell_angle_gamma 90.00
loop_
_symmetry_equiv_pos_as_xyz
'x,y,z'
'-x,-y,-z'
'-x,-y,z'
'x,y,-z'
'x,-y,-z'
'-x,y,z'
'-x,y,-z'
'x,-y,z'
loop_
_atom_site_label
_atom_site_type_symbol
_atom_site_fract_x
_atom_site_fract_y
_atom_site_fract_z
Pr1 Pr 0.000 0.000 0.000
Sm1 Sm 0.000 0.500 0.500
Pt1 Pt 0.000 0.000 0.335
Pt2 Pt 0.000 0.500 0.169
Pt3 Pt 0.500 0.000 0.500
Pt4 Pt 0.500 0.251 0.251
Pt5 Pt 0.500 0.500 0.000
```


Number 1: total magnetization 0.000 μB per formula unit, total DFT energy (no corrections) -5.940 eV/atom. Number 2: total magnetization 0.000 μB per formula unit, total DFT energy (no corrections) -5.130 eV/atom. Number 3: total magnetization 0.000 μB per formula unit, total DFT energy (no corrections) -4.586 eV/atom. Number 4: total magnetization 0.000 μB per formula unit, total DFT energy (no corrections) -1.480 eV/atom. Number 5: total magnetization 0.000 μB per formula unit, total DFT energy (no corrections) -7.753 eV/atom. Number 6: total magnetization 0.000 μB per formula unit, total DFT energy (no corrections) -5.100 eV/atom. Number 7: total magnetization 0.000 μB per formula unit, total DFT energy (no corrections) -3.929 eV/atom. Number 8: total magnetization 0.000 μB per formula unit, total DFT energy (no corrections) -6.491 eV/atom. Number 9: total magnetization 0.000 μB per formula unit, total DFT energy (no corrections) -5.166 eV/atom. Number 10: total magnetization 0.000 μB per formula unit, total DFT energy (no corrections) -7.064 eV/atom. Number 11: total magnetization 0.001 μB per formula unit, total DFT energy (no corrections) -4.019 eV/atom. Number 12: total magnetization 0.000 μB per formula unit, total DFT energy (no corrections) -6.540 eV/atom.